(1)
# YFeSe2Br

A relaxed structure of YFeSe2Br (PBEsol, the Alexandria database).

Cell: 4.7746 4.7746 4.6647 Å, 90.00 90.00 90.00°
Fractional positions:
1 Y 0.0000 0.0000 0.0000
2 Fe 0.5000 0.5000 0.5000
3 Se 0.0000 0.5000 0.5000
4 Se 0.5000 0.0000 0.5000
5 Br 0.5000 0.5000 0.0000

=====

(2)
# FeSiBr2

A relaxed structure of FeSiBr2 (PBEsol, the Alexandria database).

Cell: 3.4503 3.4503 8.8817 Å, 90.00 90.00 124.37°
Fractional positions:
1 Fe 0.0000 0.0000 0.0000
2 Si 0.5000 0.5000 0.1955
3 Br 0.0000 0.0000 0.4172
4 Br 0.5000 0.5000 0.8006

=====

(3)
# FeSiBr

A relaxed structure of FeSiBr (PBEsol, the Alexandria database).

Cell: 4.0298 4.0298 4.0298 Å, 60.00 60.00 60.00°
Fractional positions:
1 Fe 0.0000 0.0000 0.0000
2 Si 0.7500 0.7500 0.7500
3 Br 0.2500 0.2500 0.2500

=====

(4)
# Fe3SiBr

A relaxed structure of Fe3SiBr (PBEsol, the Alexandria database).

Cell: 4.3012 4.3012 4.3012 Å, 90.00 90.00 90.00°
Fractional positions:
1 Fe 0.0000 0.0000 0.5000
2 Fe 0.0000 0.5000 0.0000
3 Fe 0.5000 0.0000 0.0000
4 Si 0.0000 0.0000 0.0000
5 Br 0.5000 0.5000 0.5000

=====

(5)
# FeSi2Br

A relaxed structure of FeSi2Br (PBEsol, the Alexandria database).

Cell: 4.4719 4.4719 4.4719 Å, 60.00 60.00 60.00°
Fractional positions:
1 Fe 0.0000 0.0000 0.0000
2 Si 0.2500 0.2500 0.2500
3 Si 0.7500 0.7500 0.7500
4 Br 0.5000 0.5000 0.5000

=====

(6)
# FeSiBr2

A relaxed structure of FeSiBr2 (PBEsol, the Alexandria database).

Cell: 4.2446 4.2446 7.2576 Å, 107.13 107.13 46.83°
Fractional positions:
1 Fe 0.0000 0.0000 0.0000
2 Si 0.2920 0.2920 0.9996
3 Br 0.4189 0.4189 0.7200
4 Br 0.5865 0.5865 0.2793

=====

(7)
# Fe3SiBr

A relaxed structure of Fe3SiBr (PBEsol, the Alexandria database).

Cell: 4.2776 4.2776 4.2776 Å, 90.00 90.00 90.00°
Fractional positions:
1 Fe 0.0000 0.0000 0.5000
2 Fe 0.0000 0.5000 0.0000
3 Fe 0.5000 0.0000 0.0000
4 Si 0.5000 0.5000 0.5000
5 Br 0.0000 0.0000 0.0000

=====

(8)
# SrFeBr2

A relaxed structure of SrFeBr2 (PBEsol, the Alexandria database).

Cell: 5.7125 5.7125 4.1190 Å, 110.06 110.06 102.78°
Fractional positions:
1 Sr 0.0000 0.0000 0.0000
2 Fe 0.5000 0.5000 0.0000
3 Br 0.0000 0.5000 0.5000
4 Br 0.5000 0.0000 0.5000

=====

(9)
# SrFeBr2

A relaxed structure of SrFeBr2 (PBEsol, the Alexandria database).

Cell: 3.8429 4.8769 4.8883 Å, 90.00 90.00 90.00°
Fractional positions:
1 Sr 0.0000 0.0000 0.0000
2 Fe 0.0000 0.5000 0.5000
3 Br 0.5000 0.0000 0.5000
4 Br 0.5000 0.5000 0.0000

=====

(10)
# SrFeBr2

A relaxed structure of SrFeBr2 (PBEsol, the Alexandria database).

Cell: 7.5245 7.5245 7.5245 Å, 151.44 149.75 42.09°
Fractional positions:
1 Sr 0.0000 0.0000 0.0000
2 Fe 0.8203 0.3203 0.5000
3 Br 0.3296 0.8296 0.5000
4 Br 0.6054 0.6054 0.0000

=====

(11)
# Ta2FeBr

A relaxed structure of Ta2FeBr (PBEsol, the Alexandria database).

Cell: 2.9707 2.9707 8.4554 Å, 90.00 90.00 113.24°
Fractional positions:
1 Ta 0.0000 0.0000 0.0000
2 Ta 0.5000 0.5000 0.2642
3 Fe 0.0000 0.0000 0.4855
4 Br 0.5000 0.5000 0.7422

=====

(12)
# Ta2FeBr

A relaxed structure of Ta2FeBr (PBEsol, the Alexandria database).

Cell: 5.2744 5.2744 5.2744 Å, 138.59 138.59 59.99°
Fractional positions:
1 Ta 0.0000 0.0000 0.0000
2 Ta 0.7500 0.2500 0.5000
3 Fe 0.2500 0.7500 0.5000
4 Br 0.5000 0.5000 0.0000

=====

(13)
# TaFe2Br

A relaxed structure of TaFe2Br (PBEsol, the Alexandria database).

Cell: 2.9677 4.2533 4.4470 Å, 90.00 90.00 90.00°
Fractional positions:
1 Ta 0.0000 0.0000 0.0000
2 Fe 0.0000 0.5000 0.5000
3 Fe 0.5000 0.5000 0.0000
4 Br 0.5000 0.0000 0.5000

=====

(14)
# Ta2FeBr

A relaxed structure of Ta2FeBr (PBEsol, the Alexandria database).

Cell: 4.5185 4.5185 4.5185 Å, 122.42 122.42 85.86°
Fractional positions:
1 Ta 0.2500 0.7500 0.5000
2 Ta 0.7500 0.2500 0.5000
3 Fe 0.0000 0.0000 0.0000
4 Br 0.5000 0.5000 0.0000

=====

(15)
# TaFeBr4

A relaxed structure of TaFeBr4 (PBEsol, the Alexandria database).

Cell: 5.8323 5.8323 5.8323 Å, 60.00 60.00 60.00°
Fractional positions:
1 Ta 0.0000 0.0000 0.0000
2 Fe 0.2500 0.2500 0.2500
3 Br 0.1251 0.6250 0.6250
4 Br 0.6250 0.1251 0.6250
5 Br 0.6250 0.6250 0.1251
6 Br 0.6250 0.6250 0.6250

=====

(16)
# TaFe2Br

A relaxed structure of TaFe2Br (PBEsol, the Alexandria database).

Cell: 4.3216 4.3216 4.3216 Å, 119.94 119.94 90.10°
Fractional positions:
1 Ta 0.0000 0.0000 0.0000
2 Fe 0.2500 0.7500 0.5000
3 Fe 0.5000 0.5000 0.0000
4 Br 0.7500 0.2500 0.5000

=====

(17)
# Ta2FeBr

A relaxed structure of Ta2FeBr (PBEsol, the Alexandria database).

Cell: 4.5070 4.5070 4.5070 Å, 60.00 60.00 60.00°
Fractional positions:
1 Ta 0.0000 0.0000 0.0000
2 Ta 0.2500 0.2500 0.2500
3 Fe 0.5000 0.5000 0.5000
4 Br 0.7500 0.7500 0.7500

=====

(18)
# ZrTaFeBr2

A relaxed structure of ZrTaFeBr2 (PBEsol, the Alexandria database).

Cell: 4.6027 4.6027 4.6931 Å, 90.00 90.00 90.00°
Fractional positions:
1 Zr 0.0000 0.0000 0.0000
2 Ta 0.5000 0.5000 0.0000
3 Fe 0.5000 0.5000 0.5000
4 Br 0.0000 0.5000 0.5000
5 Br 0.5000 0.0000 0.5000

=====

(19)
# Fe2TcBr

A relaxed structure of Fe2TcBr (PBEsol, the Alexandria database).

Cell: 5.0179 5.0179 5.0179 Å, 146.35 128.89 62.60°
Fractional positions:
1 Fe 0.0000 0.0000 0.0000
2 Fe 0.7643 0.2643 0.5000
3 Tc 0.2722 0.7722 0.5000
4 Br 0.5176 0.5176 0.0000

=====

(20)
# Fe2TcBr

A relaxed structure of Fe2TcBr (PBEsol, the Alexandria database).

Cell: 2.8795 4.2964 4.3676 Å, 90.00 90.00 90.00°
Fractional positions:
1 Fe 0.0000 0.0000 0.0000
2 Fe 0.5000 0.5000 0.0000
3 Tc 0.0000 0.5000 0.5000
4 Br 0.5000 0.0000 0.5000

=====

no.,final energy (eV per atom),density of states at the Fermi level (states/eV/f.u.),formation energy (no corrections) (eV per atom)
1,-5.616,5.6,-0.544
2,-4.425,2.3,0.188
3,-5.071,2.0,0.455
4,-6.010,4.2,0.891
5,-4.696,3.7,0.886
6,-4.640,2.2,-0.028
7,-5.612,5.6,1.290
8,-3.963,5.3,-0.327
9,-4.087,2.4,-0.451
10,-4.113,4.4,-0.477
11,-8.638,3.5,0.346
12,-8.192,4.5,0.792
13,-7.427,4.6,0.660
14,-8.381,3.9,0.603
15,-3.244,8.9,1.589
16,-7.378,3.9,0.710
17,-8.005,3.8,0.979
18,-6.026,6.9,0.842
19,-6.974,5.7,0.792
20,-6.964,5.1,0.802